Computed, not measured: an optimized crystal structure of FeMoP at the PBE-GGA level of DFT.

The structure in CIF format:
```
data_FeMoP
_chemical_formula_sum 'Fe1 Mo1 P1'
_space_group_name_H-M_alt 'P -6 m 2'
_space_group_IT_number 187
_space_group_name_Hall 'P -6 2'
_cell_length_a 3.9293
_cell_length_b 3.9293
_cell_length_c 2.7717
_cell_angle_alpha 90.00
_cell_angle_beta 90.00
_cell_angle_gamma 120.00
loop_
_atom_site_label
_atom_site_fract_x
_atom_site_fract_y
_atom_site_fract_z
Fe1 0.0000 0.0000 0.0000
Mo1 0.6667 0.3333 0.5000
P1 0.3333 0.6667 0.0000
```

Results
Calculated volume in Å³ per cell: 37.06
E_tot in eV/atom: -8.51
Formation enthalpy at 0 K in meV/atom: -274.7
Density in Mg/m³: 8.19